[1]
DFT (PBE) results for a relaxed structure of YLu2Sb.

extended XYZ file:
```
4
Lattice="-1.1270 -3.3820 3.1635 4.4017 -1.6901 -0.2388 1.2913 2.8652 3.5230" Properties=species:S:1:pos:R:3 pbc="T T T"
Y 2.2830 -1.1035 3.2239
Sb -0.5635 -1.6910 1.5818
Lu 2.2008 -0.8451 -0.1194
Lu 0.6456 1.4326 1.7615
```

Summary:
E_form (uncorrected)   -417.0 meV/atom
Mass density   8.8 g/cm3
Raw total energy   -5.324 eV per atom
Space-group type   P4/mmm, No. 123



[2]
DFT (PBE) results for a relaxed structure of CaUGa2.

extended XYZ file:
```
4
Lattice="-0.3135 -0.4578 2.9373 5.1806 -1.6295 0.2989 1.5554 5.1219 0.9644" Properties=species:S:1:pos:R:3 pbc="T T T"
U -0.1567 -0.2289 1.4686
Ga 2.5903 -0.8148 0.1494
Ga 0.7777 2.5610 0.4822
Ca 3.2113 1.5173 2.1003
```

Summary:
DFT formation energy   -14.99 kJ per mole of atoms
Mass density   7.8 g/cm3
Raw total energy   -4.991 eV per atom
Space-group type   P4/mmm, No. 123



[3]
DFT (PBE) results for a relaxed structure of Zn2InMo.

extended XYZ file:
```
4
Lattice="-0.5057 2.3804 -1.4369 -1.6923 -1.4607 -1.7290 -6.9067 1.7306 5.2979" Properties=species:S:1:pos:R:3 pbc="T T T"
Zn -6.6934 1.6771 5.1343
Zn -3.6667 0.9188 2.8126
In -2.8257 0.8925 -0.2585
Mo -6.2790 1.7578 2.3905
```

Summary:
DFT formation energy   23.11 kJ per mole of atoms
Mass density   8.0 g/cm3
Raw total energy   -3.790 eV per atom
Space-group type   Cmmm, No. 65



[4]
DFT (PBE) results for a relaxed structure of Nd2Ga2Co2N.

extended XYZ file:
```
7
Lattice="-0.5371 1.8317 3.4202 0.0142 -4.1391 4.4620 5.6056 -3.4816 2.7418" Properties=species:S:1:pos:R:3 pbc="T T T"
Co 1.5969 -3.2734 4.2456
Co 3.4859 -2.5157 6.3783
N 0.0000 0.0000 0.0000
Nd 4.3568 -5.5588 8.1449
Nd 0.7260 -0.2303 2.4790
Ga 3.3833 -4.6110 5.2416
Ga 1.6995 -1.1780 5.3823
```

Summary:
E_form (uncorrected)   -634.5 meV/atom
Mass density   7.6 g/cm3
Raw total energy   -6.081 eV per atom
Space-group type   C2/m, No. 12